Entry 1:
A plane-wave DFT calculation with PBE was carried out for a relaxed structure of TbCeErSn.

Cell: 5.366 5.366 5.366 Å, 60.00 60.00 60.00°
Each line ends with the local moment (μB).
Sites, in units of the cell vectors:
Tb  0.000  0.000  0.000  0.09
Er  0.500  0.500  0.500  0.11
Ce  0.750  0.750  0.750  0.53
Sn  0.250  0.250  0.250  -0.02

**Energy of formation**: -4.264 kcal/mol of atoms
**Symmetry**: F-43m (216)



Entry 2:
A plane-wave DFT calculation with PBE was carried out for a relaxed structure of Sm3Te2Se2.

Cell: 4.206 6.382 8.766 Å, 94.25 103.88 90.00°
Sites, in units of the cell vectors:
Se  0.568  0.751  0.137
Se  0.432  0.249  0.863
Te  0.824  0.762  0.648
Sm  0.000  0.000  0.000
Sm  0.816  0.265  0.632
Te  0.176  0.238  0.352
Sm  0.184  0.735  0.368

**Relative energy among the computed polymorphs**: 76.4 meV/atom
**Symmetry**: C2/m (12)
**Raw formation energy**: -1.586 eV per atom



Entry 3:
A plane-wave DFT calculation with PBE was carried out for a relaxed structure of CsRbCd2Au.

Cell: 4.865 5.335 9.191 Å, 106.87 105.35 90.00°
Sites, in units of the cell vectors:
Au  0.876  0.876  0.752
Cd  0.044  0.044  0.088
Cs  0.430  0.430  0.859
Cd  0.645  0.145  0.290
Rb  0.218  0.718  0.436

**Energy of formation**: -2.319 kcal/mol of atoms
**Relative energy among the computed polymorphs**: 0.0 meV/atom
**Symmetry**: Imm2 (44)



Entry 4:
A plane-wave DFT calculation with PBE was carried out for a relaxed structure of SiNi2Os.

Cell: 2.992 3.951 4.058 Å, 90.00 90.00 90.00°
Each line ends with the local moment (μB).
Sites, in units of the cell vectors:
Si  0.000  0.500  0.500  0.00
Os  0.500  0.000  0.500  0.09
Ni  0.000  0.000  0.000  0.16
Ni  0.500  0.500  0.000  0.13

**Symmetry**: Pmmm (47)
**Raw formation energy**: -0.157 eV per atom



Entry 5:
A plane-wave DFT calculation with PBE was carried out for a relaxed structure of Sc2AgRu.

Cell: 9.603 9.603 9.603 Å, 18.58 18.58 18.58°
Each line ends with the local moment (μB).
Sites, in units of the cell vectors:
Sc  0.013  0.013  0.013  0.04
Ru  0.747  0.747  0.747  0.11
Sc  0.245  0.245  0.245  0.30
Ag  0.495  0.495  0.495  0.01

**Energy of formation**: 3.079 kcal/mol of atoms
**Symmetry**: R3m (160)



Entry 6:
A plane-wave DFT calculation with PBE was carried out for a relaxed structure of TlHgMoCl6.

Cell: 7.403 7.404 7.258 Å, 90.02 90.01 59.98°
Each line ends with the local moment (μB).
Sites, in units of the cell vectors:
Cl  0.592  0.336  0.688  -0.01
Cl  0.336  0.592  0.312  -0.01
Cl  0.336  0.072  0.688  -0.01
Cl  0.072  0.336  0.312  -0.01
Hg  0.000  0.000  0.000  -0.04
Tl  0.667  0.667  0.500  -0.02
Mo  0.333  0.333  0.500  0.98
Cl  0.072  0.592  0.688  -0.01
Cl  0.592  0.072  0.312  -0.01

**Symmetry**: P312 (149)
**Raw formation energy**: -0.767 eV per atom



Entry 7:
A plane-wave DFT calculation with PBE was carried out for a relaxed structure of AgWBr2.

Cell: 3.170 4.614 7.871 Å, 73.03 90.00 90.00°
Each line ends with the local moment (μB).
Sites, in units of the cell vectors:
Br  0.000  0.104  0.918  0.05
Ag  0.500  0.730  0.665  0.03
W  0.000  0.266  0.592  0.82
Br  0.500  0.399  0.325  -0.02

**Relative energy among the computed polymorphs**: 5.3 meV/atom
**Symmetry**: Pm (6)
**Raw formation energy**: 0.354 eV per atom



Entry 8:
A plane-wave DFT calculation with PBE was carried out for a relaxed structure of Nd2AlAg2.

Cell: 4.564 5.976 10.236 Å, 83.35 77.12 67.55°
Sites, in units of the cell vectors:
Nd  0.304  0.281  0.111
Al  0.776  0.098  0.350
Ag  0.148  0.267  0.437
Nd  0.696  0.719  0.889
Ag  0.852  0.733  0.563
Ag  0.013  0.855  0.120
Al  0.224  0.902  0.650
Ag  0.987  0.145  0.880
Nd  0.489  0.684  0.338
Nd  0.511  0.316  0.662

**Energy of formation**: -6.646 kcal/mol of atoms
**Relative energy among the computed polymorphs**: 0.0 meV/atom
**Symmetry**: C2/m (12)



Entry 9:
A plane-wave DFT calculation with PBE was carried out for a relaxed structure of U3GeC3.

Cell: 6.672 6.672 7.777 Å, 64.60 64.60 60.00°
Each line ends with the local moment (μB).
Sites, in units of the cell vectors:
C  0.547  0.205  0.373  -0.04
C  0.126  0.453  0.627  -0.04
U  0.758  0.436  0.710  0.62
C  0.795  0.126  0.627  -0.04
U  0.436  0.096  0.710  0.62
C  0.874  0.547  0.373  -0.04
U  0.564  0.904  0.290  0.62
C  0.205  0.874  0.373  -0.04
C  0.453  0.795  0.627  -0.04
U  0.096  0.758  0.710  0.62
Ge  0.334  0.334  0.999  -0.05
U  0.904  0.242  0.290  0.62
Ge  0.666  0.666  0.001  -0.05
U  0.242  0.564  0.290  0.62

**Energy of formation**: 2.568 kcal/mol of atoms
**Symmetry**: R-3 (148)



Entry 10:
A plane-wave DFT calculation with PBE was carried out for a relaxed structure of CeAgHg.

Cell: 4.994 5.989 5.989 Å, 93.26 65.36 65.36°
Each line ends with the local moment (μB).
Sites, in units of the cell vectors:
Hg  0.500  0.329  0.671  0.00
Ce  0.749  0.751  0.751  0.82
Hg  0.500  0.671  0.329  0.00
Ce  0.251  0.249  0.249  0.82
Ag  0.000  0.163  0.837  0.00
Ag  0.000  0.837  0.163  0.00

**Energy of formation**: -6.599 kcal/mol of atoms
**Relative energy among the computed polymorphs**: 11.0 meV/atom
**Symmetry**: Immm (71)



Entry 11:
A plane-wave DFT calculation with PBE was carried out for a relaxed structure of HoSc4Rh5.

Cell: 3.224 3.224 16.748 Å, 90.00 90.00 90.00°
Sites, in units of the cell vectors:
Rh  0.500  0.500  0.111
Rh  0.500  0.500  0.305
Sc  0.000  0.000  0.206
Sc  0.000  0.000  0.402
Rh  0.500  0.500  0.500
Sc  0.000  0.000  0.598
Sc  0.000  0.000  0.794
Ho  0.000  0.000  0.000
Rh  0.500  0.500  0.889
Rh  0.500  0.500  0.695

**Energy of formation**: -22.683 kcal/mol of atoms
**Symmetry**: P4/mmm (123)



Entry 12:
A plane-wave DFT calculation with PBE was carried out for a relaxed structure of YPuCoAu.

Cell: 4.962 4.962 4.962 Å, 60.00 60.00 60.00°
Each line ends with the local moment (μB).
Sites, in units of the cell vectors:
Y  0.750  0.750  0.750  0.17
Co  0.000  0.000  0.000  -1.12
Pu  0.250  0.250  0.250  5.31
Au  0.500  0.500  0.500  0.05

**Energy of formation**: -4.805 kcal/mol of atoms
**Symmetry**: F-43m (216)



| no. | mass density (g cm⁻³) | DOS at the Fermi energy (states/eV per cell) |
| --- | --- | --- |
| 1 | 8.89 | 7.984 |
| 2 | 6.30 | 2.635 |
| 3 | 4.85 | 2.339 |
| 4 | 11.62 | 3.913 |
| 5 | 6.32 | 4.295 |
| 6 | 3.44 | 5.974 |
| 7 | 6.81 | 3.485 |
| 8 | 7.02 | 10.974 |
| 9 | 10.49 | 15.573 |
| 10 | 10.48 | 11.216 |
| 11 | 8.20 | 4.773 |
| 12 | 11.32 | 12.639 |